# 1
# Na3Li3Al2F12

An optimized crystal structure of Na3Li3Al2F12 (PBEsol, Alexandria via LeMat-Bulk).

Structure (POSCAR):
```
Na3Li3Al2F12
1.0
10.477 0.000 0.000
-3.492 9.878 0.000
-3.492 -4.939 8.555
Na F Li Al
12 48 12 8
direct
0.375 0.125 0.250
0.875 0.250 0.125
0.875 0.625 0.250
0.625 0.875 0.750
0.125 0.375 0.750
0.750 0.375 0.625
0.250 0.125 0.875
0.250 0.625 0.375
0.125 0.750 0.875
0.375 0.250 0.625
0.750 0.875 0.125
0.625 0.750 0.375
0.096 0.670 0.485
0.830 0.426 0.315
0.015 0.111 0.685
0.685 0.074 0.170
0.015 0.904 0.830
0.670 0.985 0.596
0.185 0.170 0.074
0.111 0.926 0.096
0.074 0.404 0.389
0.426 0.815 0.330
0.574 0.389 0.404
0.485 0.170 0.096
0.926 0.596 0.611
0.170 0.596 0.985
0.830 0.404 0.015
0.389 0.904 0.074
0.330 0.015 0.404
0.611 0.096 0.926
0.985 0.889 0.315
0.185 0.015 0.611
0.485 0.315 0.889
0.315 0.389 0.985
0.574 0.185 0.670
0.926 0.330 0.815
0.389 0.485 0.815
0.904 0.330 0.515
0.815 0.985 0.389
0.404 0.515 0.330
0.670 0.685 0.574
0.074 0.670 0.185
0.904 0.574 0.889
0.426 0.611 0.596
0.889 0.074 0.904
0.404 0.889 0.574
0.596 0.111 0.426
0.985 0.096 0.170
0.330 0.315 0.426
0.111 0.185 0.515
0.611 0.515 0.185
0.515 0.830 0.904
0.596 0.485 0.670
0.170 0.574 0.685
0.096 0.426 0.111
0.815 0.830 0.926
0.685 0.611 0.015
0.315 0.926 0.830
0.515 0.685 0.111
0.889 0.815 0.485
0.750 0.625 0.875
0.375 0.750 0.125
0.375 0.625 0.750
0.875 0.750 0.625
0.875 0.125 0.750
0.625 0.250 0.875
0.125 0.250 0.375
0.625 0.375 0.250
0.250 0.375 0.125
0.125 0.875 0.250
0.250 0.875 0.625
0.750 0.125 0.375
0.000 0.000 0.500
0.500 0.500 0.500
0.500 0.000 0.000
0.500 0.000 0.500
0.000 0.500 0.500
0.000 0.000 0.000
0.000 0.500 0.000
0.500 0.500 0.000
```

Output
Formation energy (no corrections) = -6207 kJ/mol of formula units
Space-group type = Ia-3d (230)

***

# 2
# LiAlPO4F

An optimized crystal structure of LiAlPO4F (PBEsol, Alexandria via LeMat-Bulk).

Structure (POSCAR):
```
LiAlPO4F
1.0
-3.829 3.331 0.043
-2.762 -4.332 0.306
3.457 0.734 5.973
O P F Al Li
8 2 2 2 2
direct
0.745 0.211 0.420
0.884 0.320 0.127
0.700 0.670 0.364
0.255 0.789 0.580
0.116 0.680 0.873
0.362 0.236 0.097
0.300 0.330 0.636
0.638 0.764 0.903
0.676 0.353 0.251
0.324 0.647 0.749
0.909 0.075 0.748
0.091 0.925 0.252
0.000 0.000 0.000
0.000 0.000 0.500
0.726 0.377 0.739
0.274 0.623 0.261
```

Output
Formation energy (no corrections) = -2135 kJ/mol of formula units
Space-group type = P-1 (2)

***

# 3
# LiScAl2F

An optimized crystal structure of LiScAl2F (PBEsol, Alexandria via LeMat-Bulk).

Structure (POSCAR):
```
LiScAl2F
1.0
-3.714 2.033 1.186
-2.126 -1.910 -3.384
-1.050 -3.432 2.597
Al Li Sc F
2 1 1 1
direct
0.000 0.000 0.500
0.000 0.500 0.000
0.500 0.500 0.500
0.500 0.000 0.000
0.000 0.000 0.000
```

Output
Formation energy (no corrections) = -283 kJ/mol of formula units
Space-group type = P4/mmm (123)

***

# 4
# LiAlTeF2

An optimized crystal structure of LiAlTeF2 (PBEsol, Alexandria via LeMat-Bulk).

Structure (POSCAR):
```
LiAlTeF2
1.0
4.429 0.000 0.000
0.000 4.429 0.000
0.000 0.000 5.636
Te F Li Al
1 2 1 1
direct
0.000 0.000 0.000
0.500 0.000 0.000
0.000 0.500 0.000
0.500 0.500 0.500
0.000 0.000 0.500
```

Output
Formation energy (no corrections) = -334 kJ/mol of formula units
Space-group type = P4/mmm (123)

***

# 5
# MgAl3F

An optimized crystal structure of MgAl3F (PBEsol, Alexandria via LeMat-Bulk).

Structure (POSCAR):
```
MgAl3F
1.0
-1.757 3.286 2.490
-3.642 0.032 -2.612
-1.933 -3.048 2.657
Mg Al F
1 3 1
direct
0.500 0.500 0.500
0.500 0.000 0.000
0.000 0.000 0.500
0.000 0.500 0.000
0.000 0.000 0.000
```

Output
Formation energy (no corrections) = -127 kJ/mol of formula units
Space-group type = Pm-3m (221)

***

# 6
# MgAlF3

An optimized crystal structure of MgAlF3 (PBEsol, Alexandria via LeMat-Bulk).

Structure (POSCAR):
```
MgAlF3
1.0
-0.531 3.958 0.197
-0.676 -0.286 3.931
3.905 0.489 0.707
F Mg Al
3 1 1
direct
0.000 0.500 0.500
0.500 0.500 0.000
0.500 0.000 0.500
0.500 0.500 0.500
0.000 0.000 0.000
```

Output
Formation energy (no corrections) = -1222 kJ/mol of formula units
Space-group type = Pm-3m (221)

***

# 7
# MgAlMoF2

An optimized crystal structure of MgAlMoF2 (PBEsol, Alexandria via LeMat-Bulk).

Structure (POSCAR):
```
MgAlMoF2
1.0
3.685 0.000 0.000
0.000 3.685 0.000
0.000 0.000 6.228
Mo F Mg Al
1 2 1 1
direct
0.500 0.500 0.500
0.000 0.500 0.000
0.500 0.000 0.000
0.000 0.000 0.500
0.000 0.000 0.000
```

Output
Formation energy (no corrections) = -279 kJ/mol of formula units
Space-group type = P4/mmm (123)

***

# 8
# MgAlN2F

An optimized crystal structure of MgAlN2F (PBEsol, Alexandria via LeMat-Bulk).

Structure (POSCAR):
```
MgAlN2F
1.0
-2.955 -1.987 0.592
-0.619 -0.240 -3.892
2.181 -3.287 -0.144
F N Al Mg
1 2 1 1
direct
0.500 0.000 0.000
0.000 0.000 0.500
0.000 0.500 0.000
0.500 0.500 0.500
0.000 0.000 0.000
```

Output
Formation energy (no corrections) = 68 kJ/mol of formula units
Space-group type = P4/mmm (123)

***

# 9
# Na2MgAlF7

An optimized crystal structure of Na2MgAlF7 (PBEsol, Alexandria via LeMat-Bulk).

Structure (POSCAR):
```
Na2MgAlF7
1.0
-2.787 5.993 -2.465
-5.416 -0.276 -4.642
-6.460 2.065 2.229
F Al Mg Na
14 2 2 4
direct
0.015 0.319 0.455
0.515 0.955 0.819
0.162 0.681 0.544
0.503 0.308 0.865
0.388 0.319 0.456
0.888 0.956 0.819
0.675 0.692 0.135
0.839 0.115 0.385
0.175 0.635 0.192
0.662 0.044 0.181
0.290 0.045 0.181
0.790 0.681 0.545
0.339 0.885 0.615
0.003 0.365 0.808
0.089 0.500 0.500
0.589 0.000 0.000
0.089 0.000 0.500
0.589 0.000 0.500
0.588 0.500 0.500
0.088 0.000 0.000
0.589 0.503 0.997
0.089 0.497 0.003
```

Output
Formation energy (no corrections) = -3526 kJ/mol of formula units
Space-group type = Ima2 (46)

***

# 10
# MgAlO2F

An optimized crystal structure of MgAlO2F (PBEsol, Alexandria via LeMat-Bulk).

Structure (POSCAR):
```
MgAlO2F
1.0
3.534 0.000 0.000
0.000 3.861 0.000
0.000 0.000 3.861
O Al Mg F
2 1 1 1
direct
0.000 0.500 0.000
0.000 0.000 0.500
0.500 0.500 0.500
0.000 0.000 0.000
0.500 0.000 0.000
```

Output
Formation energy (no corrections) = -781 kJ/mol of formula units
Space-group type = P4/mmm (123)

***

# 11
# MnAlF3

An optimized crystal structure of MnAlF3 (PBEsol, Alexandria via LeMat-Bulk).

Structure (POSCAR):
```
MnAlF3
1.0
-0.274 -3.839 0.912
3.507 -0.656 -1.706
1.807 0.691 3.449
F Al Mn
3 1 1
direct
0.000 0.500 0.000
0.000 0.000 0.500
0.500 0.000 0.000
0.000 0.000 0.000
0.500 0.500 0.500
```

Output
Formation energy (no corrections) = -791 kJ/mol of formula units
Space-group type = Pm-3m (221)

***

# 12
# MnAlOF2

An optimized crystal structure of MnAlOF2 (PBEsol, Alexandria via LeMat-Bulk).

Structure (POSCAR):
```
MnAlOF2
1.0
-1.216 -1.734 3.075
0.115 -3.585 -1.976
3.870 -0.549 1.221
F Al Mn O
2 1 1 1
direct
0.000 0.000 0.500
0.000 0.500 0.000
0.500 0.500 0.500
0.000 0.000 0.000
0.500 0.000 0.000
```

Output
Formation energy (no corrections) = -724 kJ/mol of formula units
Space-group type = P4/mmm (123)